[1]
# Zr2TaOs3

A relaxed structure of Zr2TaOs3 (PBE, Alexandria).

Computed properties:
The final energy comes out at -10.859 eV/atom. The space group is No. 65. Its density of states at the Fermi level is 3.08 states/eV/cell. The formation energy is -419.2 meV/atom.

Structure (POSCAR):
```
Zr2TaOs3
1.0
3.214 0.000 0.000
0.000 4.398 -1.456
0.000 -0.020 7.309
Os Ta Zr
3 1 2
direct
0.500 0.840 0.679 Os
0.500 0.160 0.321 Os
0.500 0.500 0.000 Os
0.000 0.000 0.000 Ta
0.000 0.666 0.333 Zr
0.000 0.334 0.667 Zr
```

***

[2]
# Tb3Sm7Ho2

A relaxed structure of Tb3Sm7Ho2 (PBE, Alexandria).

Computed properties:
The excess energy over the best structure of this formula in the dataset is 0.000 eV/atom. The final energy comes out at -4.563 eV/atom. The space group is No. 65. Its density of states at the Fermi level is 18.45 states/eV/cell. The formation energy is 110.0 meV/atom.

Structure (POSCAR):
```
Tb3Sm7Ho2
1.0
3.616 0.000 0.000
0.000 5.767 0.000
0.000 -2.883 19.068
Sm Ho Tb
7 2 3
direct
0.000 0.593 0.185 Sm
0.500 0.927 0.855 Sm
0.000 0.768 0.537 Sm
0.000 0.000 0.000 Sm
0.000 0.407 0.815 Sm
0.500 0.073 0.145 Sm
0.000 0.232 0.463 Sm
0.000 0.148 0.297 Ho
0.000 0.852 0.703 Ho
0.500 0.685 0.369 Tb
0.500 0.315 0.631 Tb
0.500 0.500 0.000 Tb
```

***

[3]
# SrHfSb2Te

A relaxed structure of SrHfSb2Te (PBE, Alexandria).

Computed properties:
The excess energy over the best structure of this formula in the dataset is 1.541 eV/atom. The final energy comes out at -3.519 eV/atom. Its uncorrected formation energy is 104.7 kJ per mole of atoms. The space group is No. 123. Its density of states at the Fermi level is 7.25 states/eV/cell.

Structure (POSCAR):
```
SrHfSb2Te
1.0
5.776 0.000 0.000
0.000 5.776 0.000
0.000 0.000 5.818
Hf Sr Sb Te
1 1 2 1
direct
0.500 0.500 0.500 Hf
0.000 0.000 0.000 Sr
0.000 0.500 0.000 Sb
0.500 0.000 0.000 Sb
0.000 0.000 0.500 Te
```

***

[4]
# Zn2RuW

A relaxed structure of Zn2RuW (PBE, Alexandria).

Computed properties:
The excess energy over the best structure of this formula in the dataset is 0.244 eV/atom. The final energy comes out at -5.930 eV/atom. The space group is No. 47. Its density of states at the Fermi level is 3.49 states/eV/cell. The formation energy is 264.3 meV/atom.

Structure (POSCAR):
```
Zn2RuW
1.0
2.784 0.000 0.000
0.000 4.081 0.000
0.000 0.000 5.159
Ru Zn W
1 2 1
direct
0.500 0.500 0.250 Ru
0.000 0.000 0.494 Zn
0.000 0.000 0.006 Zn
0.500 0.500 0.750 W
```

***

no.,volume (A^3/atom)
1,17.2
2,33.1
3,38.8
4,14.7